Computed, not measured: a relaxed structure of HfMn2Pd at the PBE-GGA level of DFT.

Properties
ρ ... 10.191 g/cm³
Total energy ... -7.963 eV/atom
Formation energy from the elements ... 0.409 eV per atom

The structure in extended XYZ format:
```
8
Lattice="-2.9790 -1.9840 -0.9040 -0.6735 -0.6183 3.5766 -7.1293 6.5016 1.6866" Properties=species:S:1:pos:R:3 pbc="T T T"
Mn -6.6670 3.9459 2.0037
Mn -3.9478 0.1619 0.2371
Mn -2.3562 1.1371 2.6106
Mn -8.5925 2.5536 3.8670
Pd -1.8263 -1.3012 1.3363
Pd -4.8145 2.2911 3.2997
Hf 0.0000 0.0000 0.0000
Hf -5.9673 1.6082 1.0595
```